! CsMn2S2 (PBE, relaxed); values from VASP
! space-group type: I4/mmm (139)
! formation energy from raw total energies: -0.650 eV/atom
! density of states at the Fermi level: 3.4 states/eV per cell
&SYSTEM
  ibrav = 0, nat = 5, ntyp = 3
/
ATOMIC_SPECIES
Mn 54.94 Mn.upf
S 32.06 S.upf
Cs 132.91 Cs.upf
CELL_PARAMETERS angstrom
3.695 0.000 0.000
0.000 3.695 0.000
1.848 1.848 7.242
ATOMIC_POSITIONS angstrom
Mn 1.848 3.695 3.621
Mn 3.695 1.848 3.621
S 3.695 3.695 4.902
S 1.848 1.848 2.340
Cs 0.000 0.000 0.000